This record from Alexandria describes a geometry-optimized FeC3N3O2 structure. The functional is GGA+U.

As for the volume: 14.6 A^3/atom. For the density, the calculation gives 2.1 g/cm3. For the total energy, the calculation gives -471.8 eV/cell.

The space group is F-43m (No. 216) and the conventional cell measures 10.164, 10.164 and 10.164 Å, with angles of 90.00, 90.00 and 90.00 degrees. Symmetry generates all atoms from Fe at (0.000, 0.000, 0.000), Fe at (0.000, 0.000, 0.500), C at (0.000, 0.000, 0.191), N at (0.000, 0.000, 0.306) and O at (0.187, 0.187, 0.187).